No. 1
{
  "formula": "Tb6Dy3Th",
  "functional": "PBE",
  "state": "relaxed",
  "lattice": [[4.9131, 2.8366, 3.9410], [-4.9131, 2.8366, 3.9410], [0.0000, -5.6731, 3.9410]],
  "species": ["Tb", "Tb", "Tb", "Tb", "Tb", "Tb", "Dy", "Dy", "Dy", "Th"],
  "fractional_positions": [[0.0000, 0.3299, 0.6701], [0.1664, 0.8336, 0.5000], [0.3299, 0.6701, 0.0000], [0.5000, 0.1664, 0.8336], [0.6701, 0.0000, 0.3299], [0.8336, 0.5000, 0.1664], [0.2579, 0.2579, 0.2579], [0.5000, 0.5000, 0.5000], [0.7421, 0.7421, 0.7421], [0.0000, 0.0000, 0.0000]],
  "mass_density_g_cm3": 8.4,
  "dft_energy_ev_per_fu": -46.1,
  "total_magnetization_mub_per_fu": 0.0,
  "e_above_lowest_polymorph_ev_per_fu": 2.11,
  "formation_enthalpy_0k_mev_per_atom": 287
}

=====

No. 2
{
  "formula": "Tb2DyTh",
  "functional": "PBE",
  "state": "relaxed",
  "lattice": [[0.0000, 4.0109, 4.0109], [4.0109, 0.0000, 4.0109], [4.0109, 4.0109, 0.0000]],
  "species": ["Tb", "Tb", "Dy", "Th"],
  "fractional_positions": [[0.2500, 0.2500, 0.2500], [0.7500, 0.7500, 0.7500], [0.0000, 0.0000, 0.0000], [0.5000, 0.5000, 0.5000]],
  "mass_density_g_cm3": 9.2,
  "dft_energy_ev_per_fu": -20.6,
  "total_magnetization_mub_per_fu": 0.0,
  "e_above_lowest_polymorph_ev_per_fu": 0.65,
  "formation_enthalpy_0k_mev_per_atom": 170
}

=====

No. 3
{
  "formula": "Tb5DyTh",
  "functional": "PBE",
  "state": "relaxed",
  "lattice": [[5.6052, -3.2357, 0.0000], [5.6052, 3.2357, 0.0000], [-1.1156, 0.0000, 12.6493]],
  "species": ["Tb", "Tb", "Tb", "Tb", "Tb", "Tb", "Tb", "Tb", "Tb", "Tb", "Dy", "Dy", "Th", "Th"],
  "fractional_positions": [[0.1614, 0.1642, 0.5560], [0.1642, 0.1614, 0.0560], [0.2390, 0.7610, 0.7500], [0.2635, 0.2674, 0.8195], [0.2674, 0.2635, 0.3195], [0.7326, 0.7365, 0.6805], [0.7365, 0.7326, 0.1805], [0.7610, 0.2390, 0.2500], [0.8358, 0.8386, 0.9440], [0.8386, 0.8358, 0.4440], [0.2420, 0.7580, 0.2500], [0.7580, 0.2420, 0.7500], [0.5000, 0.5000, 0.0000], [0.5000, 0.5000, 0.5000]],
  "mass_density_g_cm3": 8.6,
  "dft_energy_ev_per_fu": -33.7,
  "total_magnetization_mub_per_fu": 0.0,
  "formation_enthalpy_0k_mev_per_atom": 209
}

=====

No. 4
{
  "formula": "Tb4DyTh2",
  "functional": "PBE",
  "state": "relaxed",
  "lattice": [[1.7904, 1.0337, 20.1878], [-1.7904, 1.0337, 20.1878], [0.0000, -2.0674, 20.1878]],
  "species": ["Tb", "Tb", "Tb", "Tb", "Dy", "Th", "Th"],
  "fractional_positions": [[0.1418, 0.1418, 0.1418], [0.2852, 0.2852, 0.2852], [0.7148, 0.7148, 0.7148], [0.8582, 0.8582, 0.8582], [0.0000, 0.0000, 0.0000], [0.4286, 0.4286, 0.4286], [0.5714, 0.5714, 0.5714]],
  "mass_density_g_cm3": 9.4,
  "dft_energy_ev_per_fu": -37.8,
  "total_magnetization_mub_per_fu": 0.0,
  "e_above_lowest_polymorph_ev_per_fu": 0.00,
  "formation_enthalpy_0k_mev_per_atom": 22
}

=====

No. 5
{
  "formula": "Tb3Dy2Th6",
  "functional": "PBE",
  "state": "relaxed",
  "lattice": [[1.7877, 1.0322, 31.7557], [-1.7877, 1.0322, 31.7557], [0.0000, -2.0643, 31.7557]],
  "species": ["Tb", "Tb", "Tb", "Dy", "Dy", "Th", "Th", "Th", "Th", "Th", "Th"],
  "fractional_positions": [[0.0000, 0.0000, 0.0000], [0.2729, 0.2729, 0.2729], [0.7271, 0.7271, 0.7271], [0.4542, 0.4542, 0.4542], [0.5458, 0.5458, 0.5458], [0.0908, 0.0908, 0.0908], [0.1815, 0.1815, 0.1815], [0.3636, 0.3636, 0.3636], [0.6364, 0.6364, 0.6364], [0.8185, 0.8185, 0.8185], [0.9092, 0.9092, 0.9092]],
  "mass_density_g_cm3": 10.4,
  "dft_energy_ev_per_fu": -67.3,
  "total_magnetization_mub_per_fu": 0.0,
  "formation_enthalpy_0k_mev_per_atom": 33
}

=====

No. 6
{
  "formula": "TbDy7Th2",
  "functional": "PBE",
  "state": "relaxed",
  "lattice": [[4.3458, -8.3180, 0.0000], [4.3458, 8.3180, 0.0000], [0.0000, 0.0000, 5.4957]],
  "species": ["Tb", "Dy", "Dy", "Dy", "Dy", "Dy", "Dy", "Dy", "Th", "Th"],
  "fractional_positions": [[0.0000, 0.0000, 0.0000], [0.0659, 0.2864, 0.5000], [0.2083, 0.7917, 0.0000], [0.2864, 0.0659, 0.5000], [0.5000, 0.5000, 0.5000], [0.7136, 0.9341, 0.5000], [0.7917, 0.2083, 0.0000], [0.9341, 0.7136, 0.5000], [0.2951, 0.7049, 0.5000], [0.7049, 0.2951, 0.5000]],
  "mass_density_g_cm3": 7.4,
  "dft_energy_ev_per_fu": -44.0,
  "total_magnetization_mub_per_fu": 0.0,
  "e_above_lowest_polymorph_ev_per_fu": 3.07,
  "formation_enthalpy_0k_mev_per_atom": 769
}

=====

No. 7
{
  "formula": "Tb3Dy2Th",
  "functional": "PBE",
  "state": "relaxed",
  "lattice": [[5.3742, -3.1035, 0.0000], [5.3742, 3.1035, 0.0000], [0.0000, 0.0000, 11.5271]],
  "species": ["Tb", "Tb", "Tb", "Tb", "Tb", "Tb", "Dy", "Dy", "Dy", "Dy", "Th", "Th"],
  "fractional_positions": [[0.0000, 0.0000, 0.0000], [0.0000, 0.0000, 0.5000], [0.3372, 0.3372, 0.0000], [0.3372, 0.3372, 0.5000], [0.6628, 0.6628, 0.0000], [0.6628, 0.6628, 0.5000], [0.0012, 0.6670, 0.7500], [0.3330, 0.9988, 0.7500], [0.6670, 0.0012, 0.2500], [0.9988, 0.3330, 0.2500], [0.3324, 0.6676, 0.2500], [0.6676, 0.3324, 0.7500]],
  "mass_density_g_cm3": 8.9,
  "dft_energy_ev_per_fu": -30.3,
  "total_magnetization_mub_per_fu": 0.0,
  "e_above_lowest_polymorph_ev_per_fu": 0.00,
  "formation_enthalpy_0k_mev_per_atom": 33
}

=====

No. 8
{
  "formula": "Tb5Dy2Th",
  "functional": "PBE",
  "state": "relaxed",
  "lattice": [[7.1178, 0.0000, 0.0000], [0.0000, 14.2504, 0.0000], [0.0000, 0.0000, 5.0382]],
  "species": ["Tb", "Tb", "Tb", "Tb", "Tb", "Tb", "Tb", "Tb", "Tb", "Tb", "Dy", "Dy", "Dy", "Dy", "Th", "Th"],
  "fractional_positions": [[0.0000, 0.0000, 0.0000], [0.0019, 0.2511, 0.0000], [0.2460, 0.3767, 0.5000], [0.2540, 0.8767, 0.5000], [0.4981, 0.7511, 0.0000], [0.5000, 0.5000, 0.0000], [0.5019, 0.2489, 0.0000], [0.7460, 0.1233, 0.5000], [0.7540, 0.6233, 0.5000], [0.9981, 0.7489, 0.0000], [0.2438, 0.6232, 0.5000], [0.2562, 0.1232, 0.5000], [0.7438, 0.8768, 0.5000], [0.7562, 0.3768, 0.5000], [0.0000, 0.5000, 0.0000], [0.5000, 0.0000, 0.0000]],
  "mass_density_g_cm3": 8.8,
  "dft_energy_ev_per_fu": -39.6,
  "total_magnetization_mub_per_fu": 0.0,
  "formation_enthalpy_0k_mev_per_atom": 25
}

=====

No. 9
{
  "formula": "Tb5Dy3Th3",
  "functional": "PBE",
  "state": "relaxed",
  "lattice": [[11.1820, 0.0000, 0.0000], [-5.5910, 9.6839, 0.0000], [0.0000, 0.0000, 3.4267]],
  "species": ["Tb", "Tb", "Tb", "Tb", "Tb", "Dy", "Dy", "Dy", "Th", "Th", "Th"],
  "fractional_positions": [[0.0000, 0.1611, 0.0000], [0.1611, 0.0000, 0.0000], [0.3333, 0.6667, 0.0000], [0.6667, 0.3333, 0.0000], [0.8389, 0.8389, 0.0000], [0.0000, 0.4074, 0.5000], [0.4074, 0.0000, 0.5000], [0.5926, 0.5926, 0.5000], [0.0000, 0.6610, 0.0000], [0.3390, 0.3390, 0.0000], [0.6610, 0.0000, 0.0000]],
  "mass_density_g_cm3": 8.9,
  "dft_energy_ev_per_fu": -55.0,
  "total_magnetization_mub_per_fu": 0.0,
  "formation_enthalpy_0k_mev_per_atom": 383
}

=====

No. 10
{
  "formula": "Tb12Dy2Th5",
  "functional": "PBE",
  "state": "relaxed",
  "lattice": [[9.3243, -3.5050, 0.0000], [9.3243, 3.5050, 0.0000], [-3.9912, 0.0000, 9.5073]],
  "species": ["Tb", "Tb", "Tb", "Tb", "Tb", "Tb", "Tb", "Tb", "Tb", "Tb", "Tb", "Tb", "Dy", "Dy", "Th", "Th", "Th", "Th", "Th"],
  "fractional_positions": [[0.0045, 0.0045, 0.3256], [0.0810, 0.5821, 0.4763], [0.0965, 0.5893, 0.1357], [0.4107, 0.9035, 0.8643], [0.4179, 0.9190, 0.5237], [0.4672, 0.4672, 0.7559], [0.5328, 0.5328, 0.2441], [0.5821, 0.0810, 0.4763], [0.5893, 0.0965, 0.1357], [0.9035, 0.4107, 0.8643], [0.9190, 0.4179, 0.5237], [0.9955, 0.9955, 0.6744], [0.2202, 0.7798, 0.0000], [0.7798, 0.2202, 0.0000], [0.1766, 0.1766, 0.2086], [0.3143, 0.3143, 0.8244], [0.5000, 0.5000, 0.5000], [0.6857, 0.6857, 0.1756], [0.8234, 0.8234, 0.7914]],
  "mass_density_g_cm3": 9.1,
  "dft_energy_ev_per_fu": -97.8,
  "total_magnetization_mub_per_fu": 0.0,
  "formation_enthalpy_0k_mev_per_atom": 215
}